Record 1
{
  "formula": "Zr5Si4",
  "functional": "PBE",
  "state": "relaxed",
  "lattice_angstrom": [[7.156, 0.000, 0.000], [0.000, 7.156, 0.000], [0.000, 0.000, 13.080]],
  "species": ["Zr", "Zr", "Zr", "Zr", "Zr", "Zr", "Zr", "Zr", "Zr", "Zr", "Zr", "Zr", "Zr", "Zr", "Zr", "Zr", "Zr", "Zr", "Zr", "Zr", "Si", "Si", "Si", "Si", "Si", "Si", "Si", "Si", "Si", "Si", "Si", "Si", "Si", "Si", "Si", "Si"],
  "frac_coords": [[0.001, 0.146, 0.127], [0.001, 0.350, 0.535], [0.146, 0.001, 0.873], [0.150, 0.501, 0.785], [0.175, 0.825, 0.250], [0.325, 0.325, 0.000], [0.350, 0.001, 0.465], [0.354, 0.501, 0.377], [0.499, 0.646, 0.123], [0.499, 0.850, 0.715], [0.501, 0.150, 0.215], [0.501, 0.354, 0.623], [0.646, 0.499, 0.877], [0.650, 0.999, 0.965], [0.675, 0.675, 0.500], [0.825, 0.175, 0.750], [0.850, 0.499, 0.285], [0.854, 0.999, 0.373], [0.999, 0.650, 0.035], [0.999, 0.854, 0.627], [0.051, 0.699, 0.438], [0.147, 0.205, 0.322], [0.199, 0.449, 0.188], [0.205, 0.147, 0.678], [0.295, 0.647, 0.572], [0.301, 0.949, 0.062], [0.353, 0.705, 0.928], [0.449, 0.199, 0.812], [0.551, 0.801, 0.312], [0.647, 0.295, 0.428], [0.699, 0.051, 0.562], [0.705, 0.353, 0.072], [0.795, 0.853, 0.178], [0.801, 0.551, 0.688], [0.853, 0.795, 0.822], [0.949, 0.301, 0.938]],
  "spacegroup": "P4_12_12, No. 92",
  "crystal_system": "tetragonal",
  "polymorph_energy_mev_per_atom": 0,
  "volume_a3_per_atom": 18.6
}

***

Record 2
{
  "formula": "ZrSi2",
  "functional": "PBE",
  "state": "relaxed",
  "lattice_angstrom": [[4.776, -1.844, 0.000], [4.776, 1.844, 0.000], [-1.525, 0.000, 6.003]],
  "species": ["Zr", "Zr", "Si", "Si", "Si", "Si"],
  "frac_coords": [[0.163, 0.163, 0.209], [0.837, 0.837, 0.791], [0.111, 0.111, 0.640], [0.440, 0.440, 0.147], [0.560, 0.560, 0.853], [0.889, 0.889, 0.360]],
  "spacegroup": "C2/m, No. 12",
  "crystal_system": "monoclinic",
  "volume_a3_per_atom": 17.6
}

***

Record 3
{
  "formula": "Zr3Si2",
  "functional": "PBE",
  "state": "relaxed",
  "lattice_angstrom": [[4.209, -3.464, 0.000], [4.209, 3.464, 0.000], [-1.843, 0.000, 6.554]],
  "species": ["Zr", "Zr", "Zr", "Zr", "Zr", "Zr", "Si", "Si", "Si", "Si"],
  "frac_coords": [[0.091, 0.909, 0.750], [0.271, 0.442, 0.041], [0.442, 0.271, 0.541], [0.558, 0.729, 0.459], [0.729, 0.558, 0.959], [0.909, 0.091, 0.250], [0.043, 0.606, 0.366], [0.394, 0.957, 0.134], [0.606, 0.043, 0.866], [0.957, 0.394, 0.634]],
  "spacegroup": "C2/c, No. 15",
  "crystal_system": "monoclinic",
  "volume_a3_per_atom": 19.1
}

***

Record 4
{
  "formula": "ZrSi2",
  "functional": "PBE",
  "state": "relaxed",
  "lattice_angstrom": [[5.104, 0.000, 0.000], [-2.552, 4.420, 0.000], [0.000, 0.000, 8.320]],
  "species": ["Zr", "Zr", "Zr", "Zr", "Si", "Si", "Si", "Si", "Si", "Si", "Si", "Si"],
  "frac_coords": [[0.333, 0.667, 0.061], [0.333, 0.667, 0.439], [0.667, 0.333, 0.561], [0.667, 0.333, 0.939], [0.000, 0.000, 0.000], [0.000, 0.000, 0.500], [0.171, 0.342, 0.750], [0.171, 0.829, 0.750], [0.342, 0.171, 0.250], [0.658, 0.829, 0.750], [0.829, 0.171, 0.250], [0.829, 0.658, 0.250]],
  "spacegroup": "P6_3/mmc, No. 194",
  "crystal_system": "hexagonal",
  "volume_a3_per_atom": 15.6
}

***

Total energy
In order: -8.064; -6.903; -8.039; -6.723
Unit: eV per atom